The following is a DFT calculation (PBE) of crystalline SrSb2C at its relaxed geometry.

## Properties
Theoretical density: 5.408 g cm⁻³
ΔE_f (raw): 0.31 eV/atom
Total magnetization: 0.0 μB/cell

Cell lengths 7.2359, 7.2359, 8.0498 Å; angles 90.00, 90.00, 90.00 degrees
Last column: nearest neighbours and their distance in Å.
Space group I-42d (No. 122)
Asymmetric unit:
Sr (0.0000, 0.0000, 0.0000)  8 Sb 3.38-3.64
Sb (0.1310, 0.2500, 0.6250)  2 C 2.28
C (0.0000, 0.0000, 0.5000)  4 Sb 2.28